The following is a GGA-PBE calculation of an optimized crystal structure of YEr5Ru4, from the Alexandria database.

a = 4.836 Å, b = 6.677 Å, c = 7.500 Å
α = 90.47°, β = 108.81°, γ = 90.00°
Fractional positions:
Y1 0.500 0.000 0.000
Er1 0.166 0.494 0.333
Er2 0.167 0.995 0.335
Er3 0.500 0.500 0.000
Er4 0.834 0.506 0.667
Er5 0.833 0.005 0.665
Ru1 0.999 0.252 0.997
Ru2 0.001 0.748 0.003
Ru3 0.334 0.253 0.668
Ru4 0.666 0.747 0.332

Values from the calculation:
E_form = -0.304 eV per atom